First-principles (PBE) data for an optimized crystal structure of MnV2HIr, as listed in the Alexandria database.

Output
The total energy is -8.172 eV per atom. Its volume is 10.9 A^3/atom. Its space group is P4/mmm, No. 123.

a b c (Å): 3.861 3.861 3.664
angles (deg): 90.00 90.00 90.00
Positions (direct):
1 Ir 0.500 0.500 0.500
2 V 0.500 0.000 0.000
3 Mn 0.000 0.000 0.500
4 H 0.000 0.000 0.000
5 V 0.000 0.500 0.000